Record 1
The following is a DFT calculation (PBE) of crystalline Ac12Ga6Ge at its relaxed geometry.

Cell and atoms, written as extended XYZ:
```
19
Lattice="7.104 4.101 4.321 -7.104 4.101 4.321 0.000 -8.203 4.321" Properties=species:S:1:pos:R:3 pbc="T T T"
Ac -4.391 -4.618 7.168
Ac -6.195 1.494 5.796
Ac -1.710 -2.131 5.036
Ac 1.804 -6.112 5.796
Ac -0.991 2.546 5.036
Ac -2.701 0.415 7.928
Ac 2.701 -0.415 5.036
Ac 0.991 -2.546 7.928
Ac -1.804 6.112 7.168
Ac 1.710 2.131 7.928
Ac 6.195 -1.494 7.168
Ac 4.391 4.618 5.796
Ga -3.401 0.568 4.570
Ga 1.209 -3.230 4.570
Ga -2.193 -2.662 8.394
Ga 2.193 2.662 4.570
Ga -1.209 3.230 8.394
Ga 3.401 -0.568 8.394
Ge 0.000 0.000 0.000
```

Calculated values
density	7.07	g cm⁻³
DOS at the Fermi energy	26.42	states/eV/f.u.
energy of formation from the pure elements	-203	meV/atom
SG	R-3, No. 148

---

Record 2
The following is a DFT calculation (PBE) of crystalline TbErCuAg at its relaxed geometry.

Cell and atoms, written as extended XYZ:
```
4
Lattice="0.000 3.555 3.555 3.555 0.000 3.555 3.555 3.555 0.000" Properties=species:S:1:pos:R:3 pbc="T T T"
Tb 0.000 0.000 0.000
Er 3.555 3.555 3.555
Cu 5.333 5.333 5.333
Ag 1.778 1.778 1.778
```

Calculated values
polymorph energy (0 for the lowest one)	20	meV/atom
density	9.19	g cm⁻³
DOS at the Fermi energy	2.34	states/eV/f.u.
energy of formation from the pure elements	-269	meV/atom
SG	F-43m, No. 216